# 1
# PBEsol Li2Fe3CoO8, optimized geometry
# E above lowest polymorph = 0 meV/atom
# Spin magnetization = 5.02 μB per formula unit
# Calculated density = 4.9 g/cm³
# E = -7.235 eV/atom
# N(E_F) = 27.35 states/eV/cell
# Calculated volume = 377.0 Å³/cell
data_Li2Fe3CoO8
_chemical_formula_sum 'Li6 Fe9 Co3 O24'
_cell_length_a 5.5761
_cell_length_b 5.5761
_cell_length_c 14.0015
_cell_angle_alpha 90.00
_cell_angle_beta 90.00
_cell_angle_gamma 120.00
_symmetry_space_group_name_H-M 'R -3 m'
_symmetry_Int_Tables_number 166
_symmetry_space_group_name_Hall '-R 3 2"'
loop_
_atom_site_label
_atom_site_fract_x
_atom_site_fract_y
_atom_site_fract_z
Li1 0.0000 0.0000 0.1259
Fe1 0.0000 0.5000 0.0000
Co1 0.0000 0.0000 0.5000
O1 0.0000 0.0000 0.2627
O2 0.0363 0.5181 0.2545



# 2
# PBEsol TaMnCd, optimized geometry
# E above lowest polymorph = 0 meV/atom
# Spin magnetization = 0.27 μB per formula unit
# Calculated density = 10.7 g/cm³
# E = -7.010 eV/atom
# N(E_F) = 11.37 states/eV/cell
# Calculated volume = 215.8 Å³/cell
data_TaMnCd
_chemical_formula_sum 'Ta4 Mn4 Cd4'
_cell_length_a 5.998
_cell_length_b 5.998
_cell_length_c 5.998
_cell_angle_alpha 90.00
_cell_angle_beta 90.00
_cell_angle_gamma 90.00
_symmetry_space_group_name_H-M 'F -4 3 m'
_symmetry_Int_Tables_number 216
_symmetry_space_group_name_Hall 'F -4 2 3'
loop_
_atom_site_label
_atom_site_fract_x
_atom_site_fract_y
_atom_site_fract_z
Ta1 0.000 0.000 0.000
Mn1 0.250 0.250 0.250
Cd1 0.000 0.000 0.500



# 3
# PBEsol ZrCuTe2, optimized geometry
# Spin magnetization = 0.00 μB per formula unit
# Calculated density = 7.9 g/cm³
# E = -5.742 eV/atom
# N(E_F) = 2.26 states/eV/cell
# Calculated volume = 171.5 Å³/cell
data_ZrCuTe2
_chemical_formula_sum 'Zr2 Cu2 Te4'
_cell_length_a 3.926
_cell_length_b 3.855
_cell_length_c 11.327
_cell_angle_alpha 90.00
_cell_angle_beta 90.00
_cell_angle_gamma 90.00
_symmetry_space_group_name_H-M 'A m m 2'
_symmetry_Int_Tables_number 38
_symmetry_space_group_name_Hall 'A 2 -2'
loop_
_atom_site_label
_atom_site_fract_x
_atom_site_fract_y
_atom_site_fract_z
Zr1 0.000 0.000 0.000
Cu1 0.500 0.000 0.179
Te1 0.000 0.000 0.695
Te2 0.500 0.000 0.410



# 4
# PBEsol BaNi2Mo, optimized geometry
# E above lowest polymorph = 0 meV/atom
# Spin magnetization = 1.42 μB per formula unit
# Calculated density = 7.2 g/cm³
# E = -5.631 eV/atom
# N(E_F) = 10.99 states/eV/cell
# Calculated volume = 162.0 Å³/cell
data_BaNi2Mo
_chemical_formula_sum 'Ba2 Ni4 Mo2'
_cell_length_a 4.137
_cell_length_b 5.635
_cell_length_c 6.947
_cell_angle_alpha 90.00
_cell_angle_beta 90.00
_cell_angle_gamma 90.00
_symmetry_space_group_name_H-M 'I m m m'
_symmetry_Int_Tables_number 71
_symmetry_space_group_name_Hall '-I 2 2'
loop_
_atom_site_label
_atom_site_fract_x
_atom_site_fract_y
_atom_site_fract_z
Ba1 0.000 0.000 0.000
Ni1 0.000 0.500 0.181
Mo1 0.000 0.000 0.500



# 5
# PBEsol MgB4, optimized geometry
# Spin magnetization = 0.00 μB per formula unit
# Calculated density = 2.5 g/cm³
# E = -6.113 eV/atom
# Calculated volume = 176.9 Å³/cell
data_MgB4
_chemical_formula_sum 'Mg4 B16'
_cell_length_a 5.440
_cell_length_b 4.383
_cell_length_c 7.420
_cell_angle_alpha 90.00
_cell_angle_beta 90.00
_cell_angle_gamma 90.00
_symmetry_space_group_name_H-M 'P n m a'
_symmetry_Int_Tables_number 62
_symmetry_space_group_name_Hall '-P 2ac 2n'
loop_
_atom_site_label
_atom_site_fract_x
_atom_site_fract_y
_atom_site_fract_z
Mg1 0.049 0.250 0.138
B1 0.054 0.250 0.646
B2 0.133 0.058 0.437
B3 0.222 0.250 0.846



# 6
# PBEsol In, optimized geometry
# E above lowest polymorph = 70 meV/atom
# Spin magnetization = 0.00 μB per formula unit
# Calculated density = 6.8 g/cm³
# E = -2.912 eV/atom
# N(E_F) = 2.13 states/eV/cell
# Calculated volume = 223.7 Å³/cell
data_In
_chemical_formula_sum 'In8'
_cell_length_a 5.137
_cell_length_b 8.672
_cell_length_c 5.022
_cell_angle_alpha 90.00
_cell_angle_beta 90.00
_cell_angle_gamma 90.00
_symmetry_space_group_name_H-M 'C m c e'
_symmetry_Int_Tables_number 64
_symmetry_space_group_name_Hall '-C 2ac 2'
loop_
_atom_site_label
_atom_site_fract_x
_atom_site_fract_y
_atom_site_fract_z
In1 0.000 0.156 0.083



# 7
# PBEsol Zn2SiW, optimized geometry
# Spin magnetization = 0.00 μB per formula unit
# Calculated density = 10.0 g/cm³
# E = -5.474 eV/atom
# N(E_F) = 3.90 states/eV/cell
# Calculated volume = 114.3 Å³/cell
data_Zn2SiW
_chemical_formula_sum 'Zn4 Si2 W2'
_cell_length_a 5.068
_cell_length_b 8.161
_cell_length_c 2.765
_cell_angle_alpha 90.00
_cell_angle_beta 90.00
_cell_angle_gamma 90.00
_symmetry_space_group_name_H-M 'C m m m'
_symmetry_Int_Tables_number 65
_symmetry_space_group_name_Hall '-C 2 2'
loop_
_atom_site_label
_atom_site_fract_x
_atom_site_fract_y
_atom_site_fract_z
Zn1 0.250 0.250 0.000
Si1 0.000 0.000 0.500
W1 0.000 0.500 0.500



# 8
# PBEsol Ba5P3HO13, optimized geometry
# Spin magnetization = 0.00 μB per formula unit
# Calculated density = 4.7 g/cm³
# E = -7.316 eV/atom
# N(E_F) = 0.00 states/eV/cell
# Calculated volume = 696.3 Å³/cell
data_Ba5P3HO13
_chemical_formula_sum 'Ba10 P6 H2 O26'
_cell_length_a 10.2054
_cell_length_b 10.2054
_cell_length_c 7.7197
_cell_angle_alpha 90.00
_cell_angle_beta 90.00
_cell_angle_gamma 120.00
_symmetry_space_group_name_H-M 'P 63'
_symmetry_Int_Tables_number 173
_symmetry_space_group_name_Hall 'P 6c'
loop_
_atom_site_label
_atom_site_fract_x
_atom_site_fract_y
_atom_site_fract_z
Ba1 0.0192 0.2632 0.0000
Ba2 0.3333 0.6667 0.2484
Ba3 0.3333 0.6667 0.7493
P1 0.0358 0.4025 0.5012
H1 0.0000 0.0000 0.1930
O1 0.0000 0.0000 0.0664
O2 0.0815 0.3435 0.3392
O3 0.0876 0.3539 0.6664
O4 0.1212 0.5786 0.4959
O5 0.1378 0.6599 0.0027